[1]
Compound: TaAlIr2
Source: the Alexandria database
Functional: PBE
Structure: optimized geometry

space-group type	No. 160

```
TaAlIr2
1.0
9.0794 -0.0037 -0.0022
8.6366 2.8009 -0.0022
8.6366 1.3636 2.4465
Ir Al Ta
2 1 1
direct
0.2502 0.2502 0.2502
0.0040 0.0040 0.0040
0.7444 0.7444 0.7444
0.5014 0.5014 0.5014
```


[2]
Compound: Ta2AlIr
Source: the Alexandria database
Functional: PBE
Structure: optimized geometry

space-group type	No. 122

```
Ta2AlIr
1.0
7.4173 0.0000 0.0000
0.0000 7.4173 0.0000
3.7086 3.7086 2.6964
Ta Al Ir
4 2 2
direct
0.6591 0.1250 0.2500
0.8750 0.9091 0.7500
0.3750 0.3409 0.7500
0.0909 0.6250 0.2500
0.2500 0.7500 0.5000
0.5000 0.5000 0.0000
0.0000 0.0000 0.0000
0.7500 0.2500 0.5000
```


[3]
Compound: Ta2AlIr
Source: the Alexandria database
Functional: PBE
Structure: optimized geometry

space-group type	No. 71

```
Ta2AlIr
1.0
5.3374 0.0133 -0.0027
4.3726 3.0608 -0.0027
1.7978 0.5692 3.9523
Ta Ir Al
2 1 1
direct
0.5043 0.5043 0.4957
0.9957 0.9957 0.0043
0.2500 0.2500 0.2500
0.7500 0.7500 0.7500
```


[4]
Compound: TaAlIr2
Source: the Alexandria database
Functional: PBE
Structure: optimized geometry

space-group type	No. 123

```
TaAlIr2
1.0
-2.8143 -0.7583 0.1771
0.7447 -2.8150 -0.2195
0.5460 -0.3988 6.9678
Al Ir Ta
1 2 1
direct
0.5000 0.5000 0.7500
0.0000 0.0000 0.5227
0.0000 0.0000 0.9773
0.5000 0.5000 0.2500
```


[5]
Compound: Ta2AlIr
Source: the Alexandria database
Functional: PBE
Structure: optimized geometry

space-group type	No. 47

```
Ta2AlIr
1.0
3.6669 0.0000 0.0000
0.0000 4.2022 0.0000
0.0000 0.0000 4.2393
Ir Ta Al
1 2 1
direct
0.0000 0.5000 0.5000
0.5000 0.5000 0.0000
0.0000 0.0000 0.0000
0.5000 0.0000 0.5000
```


[6]
Compound: TaAl2Ir
Source: the Alexandria database
Functional: PBE
Structure: optimized geometry

ΔE to the lowest computed polymorph	312.0	meV/atom
space-group type	No. 216

```
TaAl2Ir
1.0
-3.3536 0.3263 -2.9340
-2.7607 -3.4558 -0.6305
-4.2211 0.2199 1.4475
Ta Al Ir
1 2 1
direct
0.7500 0.7500 0.7500
0.0000 0.0000 0.0000
0.2500 0.2500 0.2500
0.5000 0.5000 0.5000
```


[7]
Compound: Ta4AlIr5
Source: the Alexandria database
Functional: PBE
Structure: optimized geometry

space-group type	No. 47

```
Ta4AlIr5
1.0
2.8750 0.0000 0.0000
0.0000 3.7930 0.0000
0.0000 0.0000 14.5008
Ir Ta Al
5 4 1
direct
0.5000 0.5000 0.7009
0.5000 0.5000 0.0954
0.5000 0.5000 0.9046
0.5000 0.5000 0.5000
0.5000 0.5000 0.2991
0.0000 0.0000 0.3998
0.0000 0.0000 0.8033
0.0000 0.0000 0.6002
0.0000 0.0000 0.1967
0.0000 0.0000 0.0000
```


[8]
Compound: TaAlIr2
Source: the Alexandria database
Functional: PBE
Structure: optimized geometry

space-group type	No. 65

```
TaAlIr2
1.0
4.6324 0.0103 0.0000
-0.9308 4.5379 0.0000
0.0000 0.0000 2.9092
Ta Ir Al
1 2 1
direct
0.5000 0.0000 0.5000
0.0000 0.0000 0.0000
0.5000 0.5000 0.0000
0.0000 0.5000 0.5000
```


So what do the calculations give for E_form? Going down the list: -0.89, 0.69, -1.85, -3.28, -1.63, -1.17, -6.19, -2.70 eV per formula unit.
So what do the calculations give for calculated total energy? Going down the list: -34.2, -71.2, -38.2, -36.6, -37.9, -29.4, -101.6, -36.0 eV per cell.